Compound: Ho2MgNpO8
Source: Alexandria
Functional: PBE
Structure: optimized geometry

Output
The space group is No. 10. The energy relative to the elements, uncorrected is -2783 meV/atom.

Lattice parameters (Å, degrees): 5.0021 5.0042 6.8248 90.00 90.00 91.91
Atoms (fractional coordinates):
O 0.2915 0.2907 0.5000
O 0.8173 0.1844 0.7748
O 0.8173 0.1843 0.2252
O 0.1827 0.8156 0.2252
O 0.7085 0.7093 0.5000
O 0.2916 0.2895 0.0000
O 0.7084 0.7105 0.0000
O 0.1827 0.8157 0.7748
Mg 0.0000 0.0000 0.5000
Np 0.0000 0.0000 0.0000
Ho 0.5000 0.5000 0.7402
Ho 0.5000 0.5000 0.2598